Entry from the Alexandria database: Dy3Al3In after structural relaxation (GGA-PBE).

Results
magnetic moment	0.0	μB per formula unit
uncorrected energy	-4.38	eV/atom
E_form	-0.409	eV per atom

Lattice parameters (Å, degrees): 6.0081 6.0081 14.3289 107.43 107.43 44.33
With the nearest neighbours (Å) after each atom.
Positions (direct):
Dy 0.0249 0.0249 0.3756  6 Al 3.12-3.27, 3 In 3.24-3.25
Dy 0.1065 0.1065 0.9250  7 Al 3.10-3.29
Dy 0.2342 0.2342 0.2163  6 Al 3.08-3.34, 2 In 3.33
Dy 0.7658 0.7658 0.7837  6 Al 3.08-3.34, 2 In 3.33
Dy 0.8935 0.8935 0.0750  7 Al 3.10-3.29
Dy 0.9751 0.9751 0.6244  6 Al 3.12-3.27, 3 In 3.24-3.25
Al 0.3774 0.3774 0.4521  1 Al 2.63, 2 In 2.73
Al 0.3925 0.3925 0.9268  2 Al 2.62-2.66
Al 0.4822 0.4822 0.7760  1 Al 2.66, 1 In 2.79
Al 0.5178 0.5178 0.2240  1 Al 2.66, 1 In 2.79
Al 0.6075 0.6075 0.0732  2 Al 2.62-2.66
Al 0.6226 0.6226 0.5479  1 Al 2.63, 2 In 2.73
In 0.2622 0.2622 0.6125  4 Al 2.73-2.97
In 0.7378 0.7378 0.3875  4 Al 2.73-2.97



Entry from the Alexandria database: CsTa3Cl after structural relaxation (GGA-PBE).

Results
magnetic moment	0.0	μB per formula unit
uncorrected energy	-5.88	eV/atom

Lattice parameters (Å, degrees): 4.8016 4.8016 4.8016 90.00 90.00 90.00
With the nearest neighbours (Å) after each atom.
Positions (direct):
Cs 0.0000 0.0000 0.0000  12 Ta 3.40
Ta 0.0000 0.5000 0.5000  2 Cl 2.40
Ta 0.5000 0.0000 0.5000  2 Cl 2.40
Ta 0.5000 0.5000 0.0000  2 Cl 2.40
Cl 0.5000 0.5000 0.5000  6 Ta 2.40



Entry from the Alexandria database: Ca2In5Cu3 after structural relaxation (GGA-PBE).

Results
magnetic moment	0.0	μB per formula unit
uncorrected energy	-3.24	eV/atom
E_form	-0.237	eV per atom

Lattice parameters (Å, degrees): 13.4970 13.4970 7.3724 90.00 90.00 160.92
With the nearest neighbours (Å) after each atom.
Positions (direct):
Ca 0.0217 0.9783 0.5000  5 Cu 3.01-3.26, 3 In 3.27-3.31
Ca 0.3241 0.6759 0.4347  4 Cu 3.14-3.40, 9 In 3.23-3.46
Ca 0.6759 0.3241 0.9347  4 Cu 3.14-3.40, 9 In 3.23-3.46
Ca 0.9783 0.0217 0.0000  5 Cu 3.01-3.26, 3 In 3.27-3.31
In 0.0971 0.9029 0.1324  3 Cu 2.70-2.84
In 0.2069 0.7931 0.6365  4 Cu 2.69-2.79, 1 In 3.00
In 0.2082 0.7918 0.2292  3 Cu 2.74-2.78, 2 In 3.00-3.04
In 0.3759 0.6241 0.9749  4 Cu 2.78-3.04
In 0.4462 0.5538 0.3270  4 Cu 2.76-2.86
In 0.5538 0.4462 0.8270  4 Cu 2.76-2.86
In 0.6241 0.3759 0.4749  4 Cu 2.78-3.04
In 0.7918 0.2082 0.7292  3 Cu 2.74-2.78, 2 In 3.00-3.04
In 0.7931 0.2069 0.1365  4 Cu 2.69-2.79, 1 In 3.00
In 0.9029 0.0971 0.6324  3 Cu 2.70-2.84
Cu 0.1110 0.8890 0.7500  4 In 2.69-2.84, 1 Ca 3.01
Cu 0.2722 0.7278 0.9316  7 In 2.74-2.79
Cu 0.4550 0.5450 0.7136  5 In 2.70-2.86
Cu 0.5450 0.4550 0.2136  5 In 2.70-2.86
Cu 0.7278 0.2722 0.4316  7 In 2.74-2.79
Cu 0.8890 0.1110 0.2500  4 In 2.69-2.84, 1 Ca 3.01



Entry from the Alexandria database: YBiO2F2 after structural relaxation (GGA-PBE).

Results
magnetic moment	0.0	μB per formula unit
uncorrected energy	-6.77	eV/atom

Lattice parameters (Å, degrees): 3.9235 3.9235 5.6277 90.00 90.00 90.00
With the nearest neighbours (Å) after each atom.
Positions (direct):
Y 0.0000 0.0000 0.0000  4 F 2.31, 4 O 2.44
Bi 0.5000 0.5000 0.5000  4 O 2.39, 4 F 2.53
O 0.0000 0.5000 0.7433  2 Bi 2.39, 2 Y 2.44, 1 F 2.66
O 0.5000 0.0000 0.2567  2 Bi 2.39, 2 Y 2.44, 1 F 2.66
F 0.0000 0.5000 0.2162  2 Y 2.31, 2 Bi 2.53
F 0.5000 0.0000 0.7838  2 Y 2.31, 2 Bi 2.53



Entry from the Alexandria database: MnAlNi2 after structural relaxation (GGA-PBE).

Results
magnetic moment	2.0	μB per formula unit
uncorrected energy	-6.21	eV/atom
E_form	-0.088	eV per atom

Lattice parameters (Å, degrees): 2.5940 2.5940 24.2809 90.00 90.00 120.00
With the nearest neighbours (Å) after each atom.
Positions (direct):
Mn 0.0000 0.0000 0.0000  3 Ni 2.49, 3 Al 2.56, 6 Mn 2.59
Mn 0.3333 0.6667 0.6667  3 Ni 2.49, 3 Al 2.56, 6 Mn 2.59
Mn 0.6667 0.3333 0.3333  3 Ni 2.49, 3 Al 2.56, 6 Mn 2.59
Al 0.0000 0.0000 0.2477  3 Ni 2.48, 3 Mn 2.56, 6 Al 2.59
Al 0.3333 0.6667 0.9143  3 Ni 2.48, 3 Mn 2.56, 6 Al 2.59
Al 0.6667 0.3333 0.5810  3 Ni 2.48, 3 Mn 2.56, 6 Al 2.59
Ni 0.0000 0.0000 0.4998  3 Al 2.48, 9 Ni 2.54-2.59
Ni 0.0000 0.0000 0.7487  3 Mn 2.49, 9 Ni 2.54-2.59
Ni 0.3333 0.6667 0.1664  3 Al 2.48, 9 Ni 2.54-2.59
Ni 0.3333 0.6667 0.4153  3 Mn 2.49, 9 Ni 2.54-2.59
Ni 0.6667 0.3333 0.0820  3 Mn 2.49, 9 Ni 2.54-2.59
Ni 0.6667 0.3333 0.8331  3 Al 2.48, 9 Ni 2.54-2.59



Entry from the Alexandria database: TiNbTc after structural relaxation (GGA-PBE).

Results
magnetic moment	0.0	μB per formula unit
uncorrected energy	-9.71	eV/atom
E_form	-0.264	eV per atom

Lattice parameters (Å, degrees): 9.5837 4.3963 5.8261 90.00 127.29 90.00
With the nearest neighbours (Å) after each atom.
Positions (direct):
Ti 0.1679 0.0000 0.2662  3 Tc 2.70, 4 Nb 2.77-2.95, 1 Ti 2.81
Ti 0.3321 0.5000 0.7338  3 Tc 2.70, 4 Nb 2.77-2.95, 1 Ti 2.81
Ti 0.6679 0.5000 0.2662  3 Tc 2.70, 4 Nb 2.77-2.95, 1 Ti 2.81
Ti 0.8321 0.0000 0.7338  3 Tc 2.70, 4 Nb 2.77-2.95, 1 Ti 2.81
Nb 0.1666 0.0000 0.7585  3 Tc 2.69, 1 Nb 2.76, 4 Ti 2.77-2.95
Nb 0.3334 0.5000 0.2415  3 Tc 2.69, 1 Nb 2.76, 4 Ti 2.77-2.95
Nb 0.6666 0.5000 0.7585  3 Tc 2.69, 1 Nb 2.76, 4 Ti 2.77-2.95
Nb 0.8334 0.0000 0.2415  3 Tc 2.69, 1 Nb 2.76, 4 Ti 2.77-2.95
Tc 0.0021 0.5000 0.7530  3 Nb 2.69, 3 Ti 2.70, 2 Tc 2.90-2.92
Tc 0.4979 0.0000 0.2470  3 Nb 2.69, 3 Ti 2.70, 2 Tc 2.90-2.92
Tc 0.5021 0.0000 0.7530  3 Nb 2.69, 3 Ti 2.70, 2 Tc 2.90-2.92
Tc 0.9979 0.5000 0.2470  3 Nb 2.69, 3 Ti 2.70, 2 Tc 2.90-2.92



Entry from the Alexandria database: Ti2Pd2Pt after structural relaxation (GGA-PBE).

Results
magnetic moment	0.0	μB per formula unit
uncorrected energy	-7.03	eV/atom
E_form	-0.584	eV per atom

Lattice parameters (Å, degrees): 7.2639 7.2639 3.0068 90.00 90.00 90.00
With the nearest neighbours (Å) after each atom.
Positions (direct):
Ti 0.1737 0.3263 0.0000  6 Pd 2.52-2.69
Ti 0.3263 0.8263 0.0000  6 Pd 2.52-2.69
Ti 0.6737 0.1737 0.0000  6 Pd 2.52-2.69
Ti 0.8263 0.6737 0.0000  6 Pd 2.52-2.69
Pd 0.1298 0.6298 0.5000  6 Ti 2.52-2.69, 1 Pd 2.67
Pd 0.3702 0.1298 0.5000  6 Ti 2.52-2.69, 1 Pd 2.67
Pd 0.6298 0.8702 0.5000  6 Ti 2.52-2.69, 1 Pd 2.67
Pd 0.8702 0.3702 0.5000  6 Ti 2.52-2.69, 1 Pd 2.67
Pt 0.0000 0.0000 0.5000  4 Pd 2.85, 2 Pt 3.01, 8 Ti 3.08
Pt 0.5000 0.5000 0.5000  4 Pd 2.85, 2 Pt 3.01, 8 Ti 3.08



Entry from the Alexandria database: Y2Nb3Ge4 after structural relaxation (GGA-PBE).

Results
magnetic moment	0.0	μB per formula unit
uncorrected energy	-7.60	eV/atom
E_form	-0.758	eV per atom

Lattice parameters (Å, degrees): 7.0271 13.5961 7.2086 90.00 90.00 90.00
With the nearest neighbours (Å) after each atom.
Positions (direct):
Y 0.0035 0.0951 0.1736  7 Ge 2.87-3.09
Y 0.0035 0.4049 0.1736  7 Ge 2.87-3.09
Y 0.4965 0.5951 0.6736  7 Ge 2.87-3.09
Y 0.4965 0.9049 0.6736  7 Ge 2.87-3.09
Y 0.5035 0.0951 0.3264  7 Ge 2.87-3.09
Y 0.5035 0.4049 0.3264  7 Ge 2.87-3.09
Y 0.9965 0.5951 0.8264  7 Ge 2.87-3.09
Y 0.9965 0.9049 0.8264  7 Ge 2.87-3.09
Nb 0.1597 0.6268 0.3288  6 Ge 2.65-2.79
Nb 0.1597 0.8732 0.3288  6 Ge 2.65-2.79
Nb 0.1647 0.2500 0.5128  6 Ge 2.75-2.88, 2 Nb 3.05
Nb 0.3353 0.7500 0.0128  6 Ge 2.75-2.88, 2 Nb 3.05
Nb 0.3403 0.1268 0.8288  6 Ge 2.65-2.79
Nb 0.3403 0.3732 0.8288  6 Ge 2.65-2.79
Nb 0.6597 0.6268 0.1712  6 Ge 2.65-2.79
Nb 0.6597 0.8732 0.1712  6 Ge 2.65-2.79
Nb 0.6647 0.2500 0.9872  6 Ge 2.75-2.88, 2 Nb 3.05
Nb 0.8353 0.7500 0.4872  6 Ge 2.75-2.88, 2 Nb 3.05
Nb 0.8403 0.1268 0.6712  6 Ge 2.65-2.79
Nb 0.8403 0.3732 0.6712  6 Ge 2.65-2.79
Ge 0.0395 0.2500 0.8785  1 Ge 2.64, 6 Nb 2.65-2.78
Ge 0.1739 0.0418 0.5390  4 Nb 2.66-2.84, 1 Ge 2.75, 1 Y 2.87
Ge 0.1739 0.4582 0.5390  4 Nb 2.66-2.84, 1 Ge 2.75, 1 Y 2.87
Ge 0.1943 0.7500 0.6374  1 Ge 2.64, 4 Nb 2.75-2.88, 2 Y 2.87
Ge 0.3057 0.2500 0.1374  1 Ge 2.64, 4 Nb 2.75-2.88, 2 Y 2.87
Ge 0.3261 0.5418 0.0390  4 Nb 2.66-2.84, 1 Ge 2.75, 1 Y 2.87
Ge 0.3261 0.9582 0.0390  4 Nb 2.66-2.84, 1 Ge 2.75, 1 Y 2.87
Ge 0.4605 0.7500 0.3785  1 Ge 2.64, 6 Nb 2.65-2.78
Ge 0.5395 0.2500 0.6215  1 Ge 2.64, 6 Nb 2.65-2.78
Ge 0.6739 0.0418 0.9610  4 Nb 2.66-2.84, 1 Ge 2.75, 1 Y 2.87
Ge 0.6739 0.4582 0.9610  4 Nb 2.66-2.84, 1 Ge 2.75, 1 Y 2.87
Ge 0.6943 0.7500 0.8626  1 Ge 2.64, 4 Nb 2.75-2.88, 2 Y 2.87
Ge 0.8057 0.2500 0.3626  1 Ge 2.64, 4 Nb 2.75-2.88, 2 Y 2.87
Ge 0.8261 0.5418 0.4610  4 Nb 2.66-2.84, 1 Ge 2.75, 1 Y 2.87
Ge 0.8261 0.9582 0.4610  4 Nb 2.66-2.84, 1 Ge 2.75, 1 Y 2.87
Ge 0.9605 0.7500 0.1215  1 Ge 2.64, 6 Nb 2.65-2.78